Ti2WO2 | PBE with a Hubbard U | relaxed

Lattice parameters (Å, degrees): 6.3672 6.3672 6.3672 148.77 148.77 44.75
Last column: nearest neighbours and their distance in Å.
Fractional coordinates of all 5 atoms:
Ti (0.1594, 0.1594, 0.0000)  4 O 2.02
Ti (0.8406, 0.8406, 0.0000)  4 O 2.02
W (0.5000, 0.5000, 0.0000)  8 Ti 3.07, 8 O 3.41, 4 W 3.43
O (0.2500, 0.7500, 0.5000)  4 Ti 2.02
O (0.7500, 0.2500, 0.5000)  4 Ti 2.02

Results
Symmetry   I4/mmm, No. 139
E above lowest polymorph   0.000 eV/atom
Total DFT energy (no corrections)   -7.8408 eV per atom
Calculated volume   69.2 Å³/cell